[1]
# Dy7Tl2Pt2 PBE relaxed
data_Dy7Tl2Pt2
_cell_length_a 8.284
_cell_length_b 11.082
_cell_length_c 7.080
_cell_angle_alpha 90.00
_cell_angle_beta 90.00
_cell_angle_gamma 90.00
_symmetry_space_group_name_H-M 'C m m m'
_symmetry_Int_Tables_number 65
_symmetry_space_group_name_Hall '-C 2 2'
loop_
_atom_site_label
_atom_site_fract_x
_atom_site_fract_y
_atom_site_fract_z
_atom_site_occupancy
Dy1 0.000 0.000 0.000 1
Dy2 0.000 0.500 0.243 1
Dy3 0.250 0.250 0.250 1
Tl1 0.180 0.000 0.500 1
Pt1 0.000 0.288 0.000 1
# Formation energy = -0.51 eV/atom
# Calculated total energy = -109.31 eV for the cell shown

[2]
# Dy5Tl4Pt2 PBE relaxed
data_Dy5Tl4Pt2
_cell_length_a 8.191
_cell_length_b 18.403
_cell_length_c 3.668
_cell_angle_alpha 90.00
_cell_angle_beta 90.00
_cell_angle_gamma 90.00
_symmetry_space_group_name_H-M 'P b a m'
_symmetry_Int_Tables_number 55
loop_
_symmetry_equiv_pos_as_xyz
'x,y,z'
'-x,-y,-z'
'-x,-y,z'
'x,y,-z'
'x+1/2,-y+1/2,-z'
'-x+1/2,y+1/2,z'
'-x+1/2,y+1/2,-z'
'x+1/2,-y+1/2,z'
loop_
_atom_site_label
_atom_site_fract_x
_atom_site_fract_y
_atom_site_fract_z
_atom_site_occupancy
Dy1 0.000 0.000 0.000 1
Dy2 0.112 0.413 0.000 1
Dy3 0.244 0.219 0.000 1
Tl1 0.079 0.854 0.500 1
Tl2 0.209 0.564 0.500 1
Pt1 0.028 0.302 0.500 1
# Formation energy = -0.71 eV/atom
# Calculated total energy = -104.68 eV for the cell shown

[3]
# DyTlPt4 PBE relaxed
data_DyTlPt4
_cell_length_a 7.680
_cell_length_b 7.680
_cell_length_c 7.680
_cell_angle_alpha 90.00
_cell_angle_beta 90.00
_cell_angle_gamma 90.00
_symmetry_space_group_name_H-M 'F -4 3 m'
_symmetry_Int_Tables_number 216
_symmetry_space_group_name_Hall 'F -4 2 3'
loop_
_atom_site_label
_atom_site_fract_x
_atom_site_fract_y
_atom_site_fract_z
_atom_site_occupancy
Dy1 0.000 0.000 0.000 1
Tl1 0.250 0.250 0.250 1
Pt1 0.125 0.125 0.625 1
# Formation energy = -0.73 eV/atom
# Calculated total energy = -142.04 eV for the cell shown

[4]
# Dy4TlPt PBE relaxed
data_Dy4TlPt
_cell_length_a 7.469
_cell_length_b 7.115
_cell_length_c 6.984
_cell_angle_alpha 90.00
_cell_angle_beta 92.06
_cell_angle_gamma 90.00
_symmetry_space_group_name_H-M 'P 1 21/c 1'
_symmetry_Int_Tables_number 14
loop_
_symmetry_equiv_pos_as_xyz
'x,y,z'
'-x,-y,-z'
'-x,y+1/2,-z+1/2'
'x,-y+1/2,z+1/2'
loop_
_atom_site_label
_atom_site_fract_x
_atom_site_fract_y
_atom_site_fract_z
_atom_site_occupancy
Dy1 0.141 0.161 0.172 1
Dy2 0.321 0.642 0.124 1
Tl1 0.500 0.000 0.000 1
Pt1 0.000 0.000 0.500 1
# Formation energy = -0.42 eV/atom
# Calculated total energy = -58.69 eV for the cell shown
# Energy above the lowest structure with this stoichiometry = 209 meV/atom

[5]
# Dy4Tl3Pt PBE relaxed
data_Dy4Tl3Pt
_cell_length_a 3.615
_cell_length_b 3.615
_cell_length_c 15.791
_cell_angle_alpha 90.00
_cell_angle_beta 90.00
_cell_angle_gamma 90.00
_symmetry_space_group_name_H-M 'P 4/m m m'
_symmetry_Int_Tables_number 123
_symmetry_space_group_name_Hall '-P 4 2'
loop_
_atom_site_label
_atom_site_fract_x
_atom_site_fract_y
_atom_site_fract_z
_atom_site_occupancy
Dy1 0.000 0.000 0.104 1
Dy2 0.000 0.000 0.368 1
Tl1 0.500 0.500 0.240 1
Tl2 0.500 0.500 0.500 1
Pt1 0.500 0.500 0.000 1
# Formation energy = -0.57 eV/atom
# Calculated total energy = -36.12 eV for the cell shown

[6]
# DyTlPt PBE relaxed
data_DyTlPt
_cell_length_a 4.9853
_cell_length_b 4.9853
_cell_length_c 21.3079
_cell_angle_alpha 90.00
_cell_angle_beta 90.00
_cell_angle_gamma 120.00
_symmetry_space_group_name_H-M 'R -3 m'
_symmetry_Int_Tables_number 166
_symmetry_space_group_name_Hall '-R 3 2"'
loop_
_atom_site_label
_atom_site_fract_x
_atom_site_fract_y
_atom_site_fract_z
_atom_site_occupancy
Dy1 0.0000 0.0000 0.1155 1
Tl1 0.0000 0.0000 0.3814 1
Pt1 0.0000 0.0000 0.2455 1
# Formation energy = -0.71 eV/atom
# Calculated total energy = -90.88 eV for the cell shown

[7]
# Dy4Tl2Pt PBE relaxed
data_Dy4Tl2Pt
_cell_length_a 6.799
_cell_length_b 3.802
_cell_length_c 8.558
_cell_angle_alpha 90.00
_cell_angle_beta 107.48
_cell_angle_gamma 90.00
_symmetry_space_group_name_H-M 'P 1 2/m 1'
_symmetry_Int_Tables_number 10
loop_
_symmetry_equiv_pos_as_xyz
'x,y,z'
'-x,-y,-z'
'-x,y,-z'
'x,-y,z'
loop_
_atom_site_label
_atom_site_fract_x
_atom_site_fract_y
_atom_site_fract_z
_atom_site_occupancy
Dy1 0.092 0.000 0.286 1
Dy2 0.370 0.500 0.678 1
Tl1 0.236 0.500 0.001 1
Pt1 0.500 0.000 0.500 1
# Formation energy = -0.42 eV/atom
# Calculated total energy = -32.11 eV for the cell shown
# Energy above the lowest structure with this stoichiometry = 116 meV/atom

[8]
# DyTlPt PBE relaxed
data_DyTlPt
_cell_length_a 3.760
_cell_length_b 3.760
_cell_length_c 9.686
_cell_angle_alpha 90.00
_cell_angle_beta 90.00
_cell_angle_gamma 90.00
_symmetry_space_group_name_H-M 'I 4 m m'
_symmetry_Int_Tables_number 107
_symmetry_space_group_name_Hall 'I 4 -2'
loop_
_atom_site_label
_atom_site_fract_x
_atom_site_fract_y
_atom_site_fract_z
_atom_site_occupancy
Dy1 0.000 0.000 0.000 1
Tl1 0.000 0.000 0.690 1
Pt1 0.000 0.000 0.364 1
# Formation energy = -0.64 eV/atom
# Calculated total energy = -29.85 eV for the cell shown

| no. | DOS at the Fermi energy (states/eV/f.u.) |
| --- | --- |
| 1 | 9.81 |
| 2 | 6.22 |
| 3 | 2.18 |
| 4 | 6.74 |
| 5 | 5.14 |
| 6 | 0.69 |
| 7 | 6.10 |
| 8 | 0.83 |